KW2Cl: optimized geometry, PBEsol.

a b c (Å): 6.5011 6.5011 6.5011
angles (deg): 90.00 90.00 90.00
With the nearest neighbours (Å) after each atom.
Space group Fm-3m (No. 225)
Symmetry-distinct sites (fractional):
K1 0.0000 0.0000 0.0000  8 W 2.82
W1 0.2500 0.2500 0.2500  4 Cl 2.82, 4 K 2.82
Cl1 0.0000 0.0000 0.5000  8 W 2.82

Properties
As for the uncorrected formation energy: 262.4 kJ per mole of atoms.



KW3Cl9: optimized geometry, PBEsol.

a b c (Å): 9.3070 9.3070 8.2691
angles (deg): 90.00 90.00 120.00
With the nearest neighbours (Å) after each atom.
Space group P-31m (No. 162)
Symmetry-distinct sites (fractional):
K1 0.3333 0.6667 0.0000  6 Cl 3.27
W1 0.0000 0.1828 0.3739  5 Cl 2.38-2.48
Cl1 0.0000 0.2023 0.8205  2 W 2.41
Cl2 0.0000 0.3955 0.1931  1 W 2.48
Cl3 0.2128 0.4256 0.5000  2 W 2.38

Properties
As for the uncorrected formation energy: -93.8 kJ per mole of atoms.



K2WCl: optimized geometry, PBEsol.

a b c (Å): 7.9961 7.9961 7.9961
angles (deg): 90.00 90.00 90.00
With the nearest neighbours (Å) after each atom.
Space group F-43m (No. 216)
Symmetry-distinct sites (fractional):
K1 0.0000 0.0000 0.0000  4 K 3.46, 4 W 3.46
K2 0.2500 0.2500 0.2500  4 Cl 3.46, 4 K 3.46
W1 0.2500 0.2500 0.7500  4 Cl 3.46, 4 K 3.46
Cl1 0.0000 0.0000 0.5000  4 W 3.46, 4 K 3.46

Properties
As for the uncorrected formation energy: 106.8 kJ per mole of atoms.



K2YCl: optimized geometry, PBEsol.

a b c (Å): 3.8145 5.9852 6.4703
angles (deg): 90.00 90.00 90.00
With the nearest neighbours (Å) after each atom.
Space group Pmmm (No. 47)
Symmetry-distinct sites (fractional):
K1 0.0000 0.0000 0.0000  6 K 3.55-3.81, 4 Cl 3.76
K2 0.5000 0.5000 0.0000  6 K 3.55-3.81, 4 Y 3.76
Y1 0.0000 0.5000 0.5000  4 Cl 3.55, 4 K 3.76, 2 Y 3.81
Cl1 0.5000 0.0000 0.5000  4 Y 3.55, 4 K 3.76, 2 Cl 3.81

Properties
As for the uncorrected formation energy: -3.1 kJ per mole of atoms.



KY2Cl7: optimized geometry, PBEsol.

a b c (Å): 6.8399 12.3797 12.9421
angles (deg): 90.00 91.76 90.00
With the nearest neighbours (Å) after each atom.
Space group P2_1/c (No. 14)
Symmetry-distinct sites (fractional):
K1 0.1952 0.2127 0.4713  7 Cl 3.19-3.56
Y1 0.2174 0.5356 0.2601  7 Cl 2.66-2.73
Y2 0.2828 0.6609 0.7555  7 Cl 2.66-2.71
Cl1 0.0047 0.2054 0.1847  2 Y 2.70
Cl2 0.0330 0.5681 0.6200  2 Y 2.67-2.68
Cl3 0.0705 0.5271 0.8723  2 Y 2.69-2.70
Cl4 0.2547 0.6854 0.1069  2 Y 2.71-2.73
Cl5 0.4460 0.0607 0.6242  2 Y 2.67-2.69
Cl6 0.4476 0.0964 0.8753  2 Y 2.66-2.69
Cl7 0.4821 0.6732 0.3375  2 Y 2.66-2.67

Properties
As for the uncorrected formation energy: -217.6 kJ per mole of atoms.



K2YCl: optimized geometry, PBEsol.

a b c (Å): 3.5522 3.5522 10.8412
angles (deg): 90.00 90.00 90.00
With the nearest neighbours (Å) after each atom.
Space group P4/mmm (No. 123)
Symmetry-distinct sites (fractional):
K1 0.0000 0.0000 0.1749  4 Cl 3.15
Y1 0.5000 0.5000 0.5000  4 Y 3.55
Cl1 0.5000 0.5000 0.0000  8 K 3.15

Properties
As for the uncorrected formation energy: -57.1 kJ per mole of atoms.